CsZnNF2 PBE optimized geometry; energy = -2.527 eV/atom; spin magnetization = 1.04 μB per formula unit; ΔE_f (raw) = 0.312 eV/atom; DOS(E_F) = 4.47 states/eV/f.u.; distance to the lowest polymorph of the same formula = 7.04 eV per formula unit
1.0
5.307 0.000 0.000
0.000 5.307 0.000
0.000 0.000 5.097
Cs Zn F N
1 1 2 1
Cartesian
0.000 0.000 0.000
2.654 2.654 2.549
0.000 2.654 0.000
2.654 0.000 0.000
0.000 0.000 2.549

---

CsZnNF2 PBE optimized geometry; energy = -3.934 eV/atom; spin magnetization = 2.00 μB per formula unit; ΔE_f (raw) = -1.095 eV/atom; DOS(E_F) = 0.03 states/eV/f.u.; distance to the lowest polymorph of the same formula = 0.00 eV per formula unit
1.0
-3.717 -2.301 -1.384
1.496 -3.737 2.197
-1.960 1.168 3.322
F Cs N Zn
2 1 1 1
Cartesian
0.748 -1.868 1.098
-1.858 -1.151 -0.692
-2.091 -2.435 2.068
-0.980 0.584 1.661
0.000 0.000 0.000

---

CsZrN2F PBE optimized geometry; energy = -6.473 eV/atom; spin magnetization = 1.29 μB per formula unit; ΔE_f (raw) = -0.888 eV/atom; DOS(E_F) = 2.92 states/eV/f.u.; distance to the lowest polymorph of the same formula = 0.00 eV per formula unit
1.0
-0.222 2.359 -3.621
-0.020 -3.626 -2.361
-4.673 -0.113 0.213
Cs F N Zr
1 1 2 1
Cartesian
-2.457 -0.690 -2.884
-2.337 -0.057 0.106
-0.010 -1.813 -1.180
-0.111 1.179 -1.810
0.000 0.000 0.000

---

CsZrNF2 PBE optimized geometry; energy = -3.897 eV/atom; spin magnetization = 1.68 μB per formula unit; ΔE_f (raw) = 0.397 eV/atom; DOS(E_F) = 4.01 states/eV/f.u.; distance to the lowest polymorph of the same formula = 12.64 eV per formula unit
1.0
-4.251 -2.556 -0.573
2.335 -4.193 1.380
-1.068 0.815 4.285
Zr F Cs N
1 2 1 1
Cartesian
-1.492 -2.967 2.546
1.167 -2.096 0.690
-2.126 -1.278 -0.287
0.000 0.000 0.000
-0.534 0.408 2.142

---

CsZrN2F PBE optimized geometry; energy = -4.058 eV/atom; spin magnetization = 1.14 μB per formula unit; ΔE_f (raw) = 1.527 eV/atom; DOS(E_F) = 4.41 states/eV/f.u.; distance to the lowest polymorph of the same formula = 12.07 eV per formula unit
1.0
-4.128 0.756 -1.397
1.244 -0.882 -4.152
-1.067 -4.610 0.659
N F Cs Zr
2 1 1 1
Cartesian
-2.064 0.378 -0.699
0.622 -0.441 -2.076
-0.534 -2.305 0.330
0.000 0.000 0.000
-1.976 -2.368 -2.445

---

CsZrNF2 PBE optimized geometry; energy = -6.424 eV/atom; spin magnetization = 0.00 μB per formula unit; ΔE_f (raw) = -2.131 eV/atom; DOS(E_F) = 0.96 states/eV/f.u.; distance to the lowest polymorph of the same formula = 0.00 eV per formula unit
1.0
4.563 0.000 0.000
0.000 4.563 0.000
0.000 0.000 4.198
F N Zr Cs
2 1 1 1
Cartesian
2.282 0.000 0.000
0.000 2.282 0.000
0.000 0.000 2.099
0.000 0.000 0.000
2.282 2.282 2.099

---

Cs4NaF5 PBE optimized geometry; energy = -4.007 eV/atom; spin magnetization = 0.11 μB per formula unit; ΔE_f (raw) = -2.598 eV/atom; DOS(E_F) = 0.00 states/eV/f.u.; distance to the lowest polymorph of the same formula = 0.15 eV per formula unit
1.0
-0.466 1.118 3.936
-3.266 -1.309 2.140
7.495 -13.798 6.961
F Na Cs
5 1 4
Cartesian
0.000 0.000 0.000
4.359 -10.889 7.918
-0.596 -3.100 5.119
2.522 -5.982 4.152
1.241 -8.007 8.885
1.882 -6.994 6.518
-0.902 -4.639 7.675
4.665 -9.350 5.362
4.064 -12.443 10.479
-0.301 -1.545 2.558

---

CsNaF PBE optimized geometry; energy = -2.876 eV/atom; spin magnetization = 0.00 μB per formula unit; ΔE_f (raw) = -1.528 eV/atom; DOS(E_F) = 0.59 states/eV/f.u.; distance to the lowest polymorph of the same formula = 0.50 eV per formula unit
1.0
-1.509 -3.612 0.347
3.498 -1.548 -0.904
1.026 2.500 8.234
Cs Na F
1 1 1
Cartesian
1.950 -2.618 3.482
2.951 -2.657 7.426
1.129 -0.045 4.446

---

CsNaF PBE optimized geometry; energy = -2.984 eV/atom; spin magnetization = 0.00 μB per formula unit; ΔE_f (raw) = -1.636 eV/atom; DOS(E_F) = 0.89 states/eV/f.u.; distance to the lowest polymorph of the same formula = 0.18 eV per formula unit
1.0
-3.318 1.058 -1.004
0.244 -2.451 -3.392
-1.151 -5.744 4.068
Na Cs F
1 1 1
Cartesian
-2.596 -5.592 1.264
-2.723 -0.851 0.419
-0.434 -1.631 -1.443

---

Cs2NaF2 PBE optimized geometry; energy = -3.121 eV/atom; spin magnetization = 0.00 μB per formula unit; ΔE_f (raw) = -1.767 eV/atom; DOS(E_F) = 0.98 states/eV/f.u.; distance to the lowest polymorph of the same formula = 1.37 eV per formula unit
1.0
9.024 0.000 0.000
0.000 9.024 0.000
0.000 0.000 3.680
Na Cs F
2 4 4
Cartesian
4.512 4.512 0.000
0.000 0.000 0.000
3.227 7.739 0.000
7.739 5.796 0.000
5.796 1.285 0.000
1.285 3.227 0.000
3.260 1.251 1.840
1.251 5.763 1.840
7.772 3.260 1.840
5.763 7.772 1.840

---

Cs2NaF2 PBE optimized geometry; energy = -3.394 eV/atom; spin magnetization = 0.00 μB per formula unit; ΔE_f (raw) = -2.040 eV/atom; DOS(E_F) = 1.34 states/eV/f.u.; distance to the lowest polymorph of the same formula = 0.00 eV per formula unit
1.0
-2.529 3.299 6.343
-0.670 -9.452 4.649
9.650 0.176 1.748
Cs F Na
8 8 4
Cartesian
3.709 0.420 5.468
2.741 -6.398 7.272
8.323 -0.547 4.274
4.867 -2.737 3.038
6.958 -0.322 8.146
-0.507 -5.656 4.594
1.584 -3.241 9.702
-1.872 -5.431 8.466
0.480 -4.496 7.061
5.971 -1.483 5.679
1.641 -7.597 4.604
4.490 0.229 2.439
3.486 -4.176 5.320
2.964 -1.802 7.420
1.961 -6.207 10.301
4.810 1.619 8.136
4.759 -3.027 6.759
0.749 3.231 6.924
1.692 -2.951 5.981
5.702 -9.209 5.816

---

Cs4NaF5 PBE optimized geometry; energy = -4.022 eV/atom; spin magnetization = 0.20 μB per formula unit; ΔE_f (raw) = -2.613 eV/atom; DOS(E_F) = 0.00 states/eV/f.u.; distance to the lowest polymorph of the same formula = 0.00 eV per formula unit
1.0
6.038 0.000 0.000
3.019 6.493 0.000
3.019 0.000 6.493
F Na Cs
5 1 4
Cartesian
2.581 0.000 0.000
9.065 2.229 5.364
6.046 5.364 4.264
6.046 1.129 2.229
3.028 4.264 1.129
0.303 0.000 0.000
3.059 1.263 2.585
6.078 3.908 1.263
6.078 2.585 5.230
9.097 5.230 3.908

---

Which value of ΔE_f (raw) does entry 4 give?
0.397 eV/atom

---

ΔE_f (raw) of number 2 (CsZnNF2)?
-1.095 eV/atom

---

What is the formula in the sixth record?
CsZrNF2